Here is an optimized crystal structure of Sm2FeWN5 from Alexandria via LeMat-Bulk. Energies are from PBE.

The structure in CIF format:
```
data_Sm2FeWN5
_space_group_name_H-M_alt 'C m c 21'
_space_group_IT_number 36
_cell_length_a 3.225
_cell_length_b 13.948
_cell_length_c 9.973
_cell_angle_alpha 90.00
_cell_angle_beta 90.00
_cell_angle_gamma 90.00
loop_
_space_group_symop_operation_xyz
'x,y,z'
'-x,-y,z+1/2'
'-x,y,z'
'x,-y,z+1/2'
'x+1/2,y+1/2,z'
'-x+1/2,-y+1/2,z+1/2'
'-x+1/2,y+1/2,z'
'x+1/2,-y+1/2,z+1/2'
loop_
_atom_site_label
_atom_site_type_symbol
_atom_site_fract_x
_atom_site_fract_y
_atom_site_fract_z
Sm1 Sm 0.000 0.118 0.000
Sm2 Sm 0.000 0.125 0.626
Fe1 Fe 0.000 0.447 0.756
W1 W 0.000 0.204 0.326
N1 N 0.000 0.031 0.326
N2 N 0.000 0.302 0.962
N3 N 0.000 0.319 0.683
N4 N 0.000 0.337 0.311
N5 N 0.000 0.497 0.589
```

## Properties
Volume, Å³/atom: 12.5
ρ, g/cm³: 9.0
Formation energy from raw total energies, eV per atom: -0.76

***

Here is an optimized crystal structure of FeTc2SnN from Alexandria via LeMat-Bulk. Energies are from PBE.

The structure in CIF format:
```
data_FeTc2SnN
_space_group_name_H-M_alt 'P 4/m m m'
_space_group_IT_number 123
_space_group_name_Hall '-P 4 2'
_cell_length_a 4.148
_cell_length_b 4.148
_cell_length_c 3.840
_cell_angle_alpha 90.00
_cell_angle_beta 90.00
_cell_angle_gamma 90.00
loop_
_atom_site_label
_atom_site_type_symbol
_atom_site_fract_x
_atom_site_fract_y
_atom_site_fract_z
Fe1 Fe 0.000 0.000 0.000
Tc1 Tc 0.000 0.500 0.500
Sn1 Sn 0.500 0.500 0.000
N1 N 0.000 0.000 0.500
```

## Properties
Volume, Å³/atom: 13.2
ρ, g/cm³: 9.7
Formation energy from raw total energies, eV per atom: 0.03

***

Question: The highest volume belongs to which entry?
Answer: FeTc2SnN

***

Question: Which value of ρ does entry 2 give?
Answer: 9.7 g/cm³

***

Question: Among the records above, which one has the highest volume?
Answer: FeTc2SnN